Density functional theory data (PBE) for crystalline Nd2Ho2Te7 at its relaxed geometry.

```
11
Lattice="4.3148 0.0000 0.0000 2.1574 9.4080 -0.1503 2.1574 4.3284 8.3545" Properties=species:S:1:pos:R:3 pbc="T T T"
Te 4.3148 10.8218 7.6679
Te 4.3148 5.9069 2.3767
Te 4.3148 1.8540 2.3118
Te 4.3148 4.3373 8.3396
Te 6.4721 7.7096 7.0579
Te 2.1574 3.8668 4.7627
Te 4.3148 8.8431 4.1304
Nd 6.4721 10.9056 5.3956
Nd 2.1574 3.8149 1.1606
Ho 2.1574 8.2317 1.8192
Ho 4.3148 5.9761 5.5957
```

The electronic total energy comes out at -4.929 eV per atom. Its space group is Imm2, No. 44. The formation energy from raw total energies is -1.23 eV/atom.

Density functional theory data (PBE) for crystalline LiMg5Al at its relaxed geometry.

```
14
Lattice="-4.2483 -0.4566 4.2452 -0.7701 -5.8131 1.3759 3.8663 -2.7784 9.8733" Properties=species:S:1:pos:R:3 pbc="T T T"
Mg -2.1424 -6.0146 6.2116
Mg -2.7722 -4.5688 3.3566
Mg 0.0423 -3.1614 3.5334
Mg -0.0928 -6.0622 4.0828
Mg -1.0593 -2.9858 11.4116
Mg 1.6201 -4.4792 12.1378
Mg -1.1944 -5.8866 11.9610
Mg 0.4248 -4.2263 6.5925
Mg -1.5769 -4.8217 8.9019
Mg 0.9903 -3.0334 9.2828
Li 0.9713 -6.1131 9.7363
Li -2.1235 -2.9349 5.7581
Al 1.9331 -1.3892 4.9366
Al 0.0000 0.0000 0.0000
```

The electronic total energy comes out at -1.821 eV per atom. Its space group is C2/c, No. 15. The calculation puts the formation energy from the elements at 127 meV per atom.

Density functional theory data (PBE) for crystalline LaEuTmAl at its relaxed geometry.

```
4
Lattice="5.4850 0.0000 0.0000 2.7425 4.7502 0.0000 2.7425 1.5834 4.4785" Properties=species:S:1:pos:R:3 pbc="T T T"
La 2.7425 1.5834 1.1196
Tm 8.2275 4.7502 3.3589
Al 5.4850 3.1668 2.2393
Eu 0.0000 0.0000 0.0000
```

The electronic total energy comes out at -5.890 eV per atom. Its space group is F-43m, No. 216. The calculation puts the formation energy from the elements at -36 meV per atom.